No. 1
The following is a PBE calculation of crystalline DyInPbCl6 at its relaxed geometry, from Alexandria.

As for the total magnetization: 0.000 μB per atom. Its formation energy without anion corrections is -1.603 eV per atom.

The structure in POSCAR format:
```
DyInPbCl6
1.0
7.3306 0.0000 0.0000
-3.6653 6.3485 0.0000
0.0000 0.0000 13.4353
Dy In Pb Cl
2 2 2 12
direct
0.6667 0.3333 0.2500
0.3333 0.6667 0.7500
0.0000 0.0000 0.0000
0.0000 0.0000 0.5000
0.3333 0.6667 0.2500
0.6667 0.3333 0.7500
0.6473 0.6208 0.1366
0.9735 0.3527 0.1366
0.3527 0.9735 0.6366
0.0265 0.6473 0.8634
0.3792 0.3527 0.3634
0.9735 0.6208 0.3634
0.6208 0.9735 0.8634
0.6473 0.0265 0.3634
0.0265 0.3792 0.6366
0.3792 0.0265 0.1366
0.6208 0.6473 0.6366
0.3527 0.3792 0.8634
```

No. 2
The following is a PBE calculation of crystalline DyPuInCl6 at its relaxed geometry, from Alexandria.

As for the total magnetization: 0.667 μB per atom. Its formation energy without anion corrections is -1.791 eV per atom.

The structure in POSCAR format:
```
DyPuInCl6
1.0
7.1677 0.0000 0.0000
-3.5838 6.2074 0.0000
0.0000 0.0000 13.8475
Dy Pu In Cl
2 2 2 12
direct
0.6667 0.3333 0.2500
0.3333 0.6667 0.7500
0.3333 0.6667 0.2500
0.6667 0.3333 0.7500
0.0000 0.0000 0.0000
0.0000 0.0000 0.5000
0.6426 0.6250 0.1390
0.9824 0.3574 0.1390
0.3574 0.9824 0.6390
0.0176 0.6426 0.8610
0.3750 0.3574 0.3610
0.9824 0.6250 0.3610
0.6250 0.9824 0.8610
0.6426 0.0176 0.3610
0.0176 0.3750 0.6390
0.3750 0.0176 0.1390
0.6250 0.6426 0.6390
0.3574 0.3750 0.8610
```

No. 3
The following is a PBE calculation of crystalline RbDyIn2Cl6 at its relaxed geometry, from Alexandria.

As for the total magnetization: 0.000 μB per atom. Its formation energy without anion corrections is -1.657 eV per atom.

The structure in POSCAR format:
```
RbDyIn2Cl6
1.0
-1.6866 1.4407 7.5585
-1.9291 -5.9313 4.8130
5.2388 -2.3028 5.7178
Rb Dy In Cl
1 1 2 6
direct
0.8118 0.8120 0.5643
0.3220 0.3219 0.0341
0.5254 0.5254 0.4240
0.0195 0.0197 0.9407
0.5594 0.2079 0.2398
0.2076 0.9930 0.2405
0.9927 0.5598 0.2399
0.4145 0.6668 0.7770
0.6672 0.1409 0.7776
0.1415 0.4144 0.7773
```

No. 4
The following is a PBE calculation of crystalline DyInSnCl6 at its relaxed geometry, from Alexandria.

As for the total magnetization: 0.000 μB per atom. Its formation energy without anion corrections is -1.550 eV per atom.

The structure in POSCAR format:
```
DyInSnCl6
1.0
7.2447 0.0001 -0.0003
3.6225 6.2739 -0.0001
0.0003 -0.0001 6.8065
Dy In Sn Cl
1 1 1 6
direct
0.3333 0.3333 0.5000
0.0000 0.0000 0.0000
0.6666 0.6667 0.5000
0.0212 0.3545 0.2775
0.3545 0.0212 0.7225
0.6242 0.3545 0.7225
0.0212 0.6242 0.7225
0.3545 0.6242 0.2775
0.6242 0.0212 0.2775
```

No. 5
The following is a PBE calculation of crystalline SrDyInCl6 at its relaxed geometry, from Alexandria.

As for the total magnetization: 0.000 μB per atom. Its formation energy without anion corrections is -2.035 eV per atom.

The structure in POSCAR format:
```
SrDyInCl6
1.0
7.3589 0.0000 0.0000
-3.6795 6.3730 0.0000
0.0000 0.0000 13.3834
Sr Dy In Cl
2 2 2 12
direct
0.3333 0.6667 0.2500
0.6667 0.3333 0.7500
0.6667 0.3333 0.2500
0.3333 0.6667 0.7500
0.0000 0.0000 0.0000
0.0000 0.0000 0.5000
0.6463 0.6201 0.1372
0.9738 0.3537 0.1372
0.3537 0.9738 0.6372
0.0262 0.6463 0.8628
0.3799 0.3537 0.3628
0.9738 0.6201 0.3628
0.6201 0.9738 0.8628
0.6463 0.0262 0.3628
0.0262 0.3799 0.6372
0.3799 0.0262 0.1372
0.6201 0.6463 0.6372
0.3537 0.3799 0.8628
```

No. 6
The following is a PBE calculation of crystalline DyTlIn2Cl6 at its relaxed geometry, from Alexandria.

As for the total magnetization: 0.000 μB per atom. Its formation energy without anion corrections is -1.462 eV per atom.

The structure in POSCAR format:
```
DyTlIn2Cl6
1.0
7.8272 0.0021 0.0005
3.9154 6.7757 0.0006
3.9143 2.2600 6.6306
Dy Tl In Cl
1 1 2 6
direct
0.3218 0.3217 0.0345
0.8118 0.8119 0.5641
0.5278 0.5279 0.4172
0.0200 0.0202 0.9394
0.5613 0.2024 0.2425
0.2023 0.9937 0.2426
0.9937 0.5616 0.2423
0.4253 0.6638 0.7775
0.6641 0.1330 0.7777
0.1335 0.4253 0.7774
```

No. 7
The following is a PBE calculation of crystalline Dy2IrCl at its relaxed geometry, from Alexandria.

As for the total magnetization: 0.000 μB per atom. The calculation puts the energy above the most stable polymorph in this dataset at 29 meV per atom. Its formation energy without anion corrections is -1.186 eV per atom.

The structure in POSCAR format:
```
Dy2IrCl
1.0
-2.0680 2.6550 2.1929
-0.7909 -0.7679 3.8626
5.4449 3.9801 3.9947
Dy Ir Cl
2 1 1
direct
0.0673 0.0673 0.7981
0.2707 0.2707 0.1879
0.6681 0.6681 0.9956
0.4939 0.4939 0.5184
```

No. 8
The following is a PBE calculation of crystalline Dy2IrCl at its relaxed geometry, from Alexandria.

As for the total magnetization: 0.000 μB per atom. The calculation puts the energy above the most stable polymorph in this dataset at 163 meV per atom. Its formation energy without anion corrections is -1.052 eV per atom.

The structure in POSCAR format:
```
Dy2IrCl
1.0
3.3640 0.0000 0.0000
0.0000 3.3640 0.0000
0.0000 0.0000 8.0243
Cl Ir Dy
1 1 2
direct
0.5000 0.5000 0.5000
0.5000 0.5000 0.0000
0.0000 0.0000 0.7886
0.0000 0.0000 0.2114
```

No. 9
The following is a PBE calculation of crystalline Dy4IrCl5 at its relaxed geometry, from Alexandria.

As for the total magnetization: 0.000 μB per atom. Its formation energy without anion corrections is -1.710 eV per atom.

The structure in POSCAR format:
```
Dy4IrCl5
1.0
3.9035 0.0000 0.0000
0.0000 8.3084 -0.0827
-1.9517 -1.2414 9.3760
Dy Ir Cl
4 1 5
direct
0.3525 0.9405 0.7049
0.9938 0.7761 0.9876
0.6475 0.0595 0.2951
0.0062 0.2239 0.0124
0.5000 0.0000 0.0000
0.8390 0.7038 0.6780
0.8099 0.1431 0.6198
0.1901 0.8569 0.3802
0.5000 0.5000 0.0000
0.1610 0.2962 0.3220
```

No. 10
The following is a PBE calculation of crystalline Dy2IrCl at its relaxed geometry, from Alexandria.

As for the total magnetization: 0.000 μB per atom. The calculation puts the energy above the most stable polymorph in this dataset at 0 meV per atom. Its formation energy without anion corrections is -1.216 eV per atom.

The structure in POSCAR format:
```
Dy2IrCl
1.0
-2.5467 -1.7699 2.5505
1.2359 -1.0329 3.6782
-2.4737 5.6449 4.6081
Cl Ir Dy
1 1 2
direct
0.5000 0.5000 0.5000
0.0000 0.0000 0.0000
0.2668 0.2668 0.1996
0.7332 0.7332 0.8004
```

No. 11
The following is a PBE calculation of crystalline Dy3IrCl3 at its relaxed geometry, from Alexandria.

As for the total magnetization: 0.000 μB per atom. Its formation energy without anion corrections is -1.550 eV per atom.

The structure in POSCAR format:
```
Dy3IrCl3
1.0
1.7805 0.2145 6.6239
3.4502 -5.2313 2.7967
10.8251 2.9324 0.5500
Dy Ir Cl
6 2 6
direct
0.9468 0.3183 0.1595
0.5754 0.9468 0.1595
0.3183 0.5754 0.1595
0.6817 0.4246 0.8405
0.4246 0.0532 0.8405
0.0532 0.6817 0.8405
0.6667 0.6667 0.0000
0.3333 0.3333 0.0000
0.2042 0.8942 0.3170
0.5845 0.2042 0.3170
0.8942 0.5845 0.3170
0.1058 0.4155 0.6830
0.4155 0.7958 0.6830
0.7958 0.1058 0.6830
```

No. 12
The following is a PBE calculation of crystalline NdDyIrCl at its relaxed geometry, from Alexandria.

As for the total magnetization: 0.000 μB per atom. Its formation energy without anion corrections is -1.170 eV per atom.

The structure in POSCAR format:
```
NdDyIrCl
1.0
4.0631 -0.0004 -0.0001
-2.0310 3.5175 0.0002
-2.0310 -1.1715 7.5830
Nd Dy Ir Cl
1 1 1 1
direct
0.5047 0.1501 0.6704
0.1018 0.9485 0.0664
0.3091 0.5523 0.8771
0.9624 0.3799 0.3558
```

No. 13
The following is a PBE calculation of crystalline Dy3IrCl2O6 at its relaxed geometry, from Alexandria.

As for the total magnetization: 0.169 μB per atom. Its formation energy without anion corrections is -2.110 eV per atom.

The structure in POSCAR format:
```
Dy3IrCl2O6
1.0
5.4640 0.0000 0.7047
0.0000 6.5220 0.0000
0.1971 -3.2610 5.6691
Dy Ir Cl O
3 1 2 6
direct
0.0000 0.5000 0.0000
0.5000 0.5000 0.5000
0.5000 0.0000 0.5000
0.5000 0.0000 0.0000
0.1440 0.7103 0.4206
0.8560 0.2897 0.5794
0.7037 0.2965 0.1152
0.2963 0.7035 0.8848
0.6737 0.8320 0.6640
0.3263 0.1680 0.3360
0.2963 0.1812 0.8848
0.7037 0.8188 0.1152
```

No. 14
The following is a PBE calculation of crystalline PmDyIrCl at its relaxed geometry, from Alexandria.

As for the total magnetization: 0.000 μB per atom. Its formation energy without anion corrections is -1.175 eV per atom.

The structure in POSCAR format:
```
PmDyIrCl
1.0
-1.5314 0.5024 -3.7175
-0.1386 -3.6391 1.7733
-5.6522 2.5974 4.8868
Pm Dy Ir Cl
1 1 1 1
direct
0.5053 0.1503 0.6714
0.1020 0.9487 0.0667
0.3082 0.5518 0.8757
0.9624 0.3800 0.3558
```

No. 15
The following is a PBE calculation of crystalline PrDyIrCl at its relaxed geometry, from Alexandria.

As for the total magnetization: 0.000 μB per atom. Its formation energy without anion corrections is -1.164 eV per atom.

The structure in POSCAR format:
```
PrDyIrCl
1.0
-0.0689 2.9176 -2.8450
-3.0857 -2.6460 0.2803
-2.4790 3.5936 6.6607
Pr Dy Ir Cl
1 1 1 1
direct
0.5043 0.1500 0.6695
0.1014 0.9483 0.0660
0.3101 0.5528 0.8786
0.9621 0.3797 0.3555
```

No. 16
The following is a PBE calculation of crystalline Dy4IrS2Cl at its relaxed geometry, from Alexandria.

As for the total magnetization: 0.000 μB per atom. Its formation energy without anion corrections is -1.507 eV per atom.

The structure in POSCAR format:
```
Dy4IrS2Cl
1.0
3.8712 0.0000 0.0000
0.0000 7.0330 -0.2292
0.0000 2.3954 6.5537
Dy Ir S Cl
4 1 2 1
direct
0.0000 0.7432 0.7694
0.0000 0.2568 0.2306
0.5000 0.7628 0.2276
0.5000 0.2372 0.7724
0.5000 0.5000 0.0000
0.0000 0.0000 0.0000
0.5000 0.0000 0.5000
0.0000 0.5000 0.5000
```

No. 17
The following is a PBE calculation of crystalline Dy3IrSeCl at its relaxed geometry, from Alexandria.

As for the total magnetization: 0.000 μB per atom. Its formation energy without anion corrections is -1.294 eV per atom.

The structure in POSCAR format:
```
Dy3IrSeCl
1.0
-2.8851 -0.5021 2.7928
-1.6208 -7.3569 -2.9971
6.7223 -3.3768 6.3375
Dy Ir Se Cl
6 2 2 2
direct
0.7500 0.8126 0.1141
0.2500 0.1874 0.8859
0.2500 0.6454 0.3893
0.7500 0.3546 0.6107
0.7500 0.3518 0.1805
0.2500 0.6482 0.8195
0.2500 0.5672 0.1084
0.7500 0.4328 0.8916
0.2500 0.0843 0.1645
0.7500 0.9157 0.8355
0.2500 0.1365 0.5915
0.7500 0.8635 0.4085
```

No. 18
The following is a PBE calculation of crystalline Dy4IrSe2Cl at its relaxed geometry, from Alexandria.

As for the total magnetization: 0.000 μB per atom. Its formation energy without anion corrections is -1.421 eV per atom.

The structure in POSCAR format:
```
Dy4IrSe2Cl
1.0
-0.9969 3.8047 0.6182
-6.9457 -1.9163 0.5936
-1.3470 -1.4681 6.8628
Dy Ir Se Cl
4 1 2 1
direct
0.0000 0.7468 0.7307
0.0000 0.2532 0.2693
0.5000 0.7258 0.2799
0.5000 0.2742 0.7201
0.0000 0.5000 0.5000
0.0000 0.0000 0.0000
0.5000 0.0000 0.5000
0.5000 0.5000 0.0000
```

No. 19
The following is a PBE calculation of crystalline Dy3TeIrCl at its relaxed geometry, from Alexandria.

As for the total magnetization: 0.000 μB per atom. Its formation energy without anion corrections is -1.166 eV per atom.

The structure in POSCAR format:
```
Dy3TeIrCl
1.0
-1.0020 -3.0952 -2.6419
2.6373 -5.6477 5.6164
-9.2110 0.2967 3.1461
Dy Te Ir Cl
6 2 2 2
direct
0.7500 0.7960 0.1183
0.2500 0.2040 0.8817
0.2500 0.6494 0.3941
0.7500 0.3506 0.6059
0.7500 0.3658 0.1775
0.2500 0.6342 0.8225
0.2500 0.0869 0.1805
0.7500 0.9131 0.8195
0.2500 0.5653 0.1105
0.7500 0.4347 0.8895
0.2500 0.1480 0.5845
0.7500 0.8520 0.4155
```

No. 20
The following is a PBE calculation of crystalline KDy2Cl7 at its relaxed geometry, from Alexandria.

As for the total magnetization: 0.000 μB per atom. The calculation puts the energy above the most stable polymorph in this dataset at 0 meV per atom. Its formation energy without anion corrections is -2.247 eV per atom.

The structure in POSCAR format:
```
KDy2Cl7
1.0
-10.6755 -1.2194 6.5944
0.5972 -6.9353 -0.3157
7.0647 0.6712 11.5611
K Dy Cl
4 8 28
direct
0.2160 0.6982 0.9771
0.7160 0.3018 0.5229
0.7840 0.3018 0.0229
0.2840 0.6982 0.4771
0.8393 0.7809 0.7557
0.3393 0.2191 0.7443
0.1607 0.2191 0.2443
0.6607 0.7809 0.2557
0.5356 0.7200 0.7594
0.0356 0.2800 0.7406
0.4644 0.2800 0.2406
0.9644 0.7200 0.2594
0.6862 0.7470 0.6129
0.1862 0.2530 0.8871
0.3138 0.2530 0.3871
0.8138 0.7470 0.1129
0.7039 0.5055 0.8190
0.2039 0.4945 0.6810
0.2961 0.4945 0.1810
0.7961 0.5055 0.3190
0.6740 0.9835 0.8339
0.1740 0.0165 0.6661
0.3260 0.0165 0.1661
0.8260 0.9835 0.3339
0.9314 0.5265 0.6255
0.4314 0.4735 0.8745
0.0686 0.4735 0.3745
0.5686 0.5265 0.1255
0.9037 0.0473 0.6298
0.4037 0.9527 0.8702
0.0963 0.9527 0.3702
0.5963 0.0473 0.1298
0.9726 0.5701 0.8679
0.4726 0.4299 0.6321
0.0274 0.4299 0.1321
0.5274 0.5701 0.3679
0.9402 0.0535 0.8717
0.4402 0.9465 0.6283
0.0598 0.9465 0.1283
0.5598 0.0535 0.3717
```